[1]
{
  "formula": "GePdPt",
  "functional": "GGA-PBE",
  "state": "relaxed",
  "lattice_angstrom": [[2.0492, 1.1831, 6.8204], [-2.0492, 1.1831, 6.8204], [0.0000, -2.3662, 6.8204]],
  "species": ["Ge", "Ge", "Pd", "Pd", "Pt", "Pt"],
  "frac_coords": [[0.0000, 0.0000, 0.0000], [0.4984, 0.4984, 0.4984], [0.2094, 0.2094, 0.2094], [0.6221, 0.6221, 0.6221], [0.3744, 0.3744, 0.3744], [0.7891, 0.7891, 0.7891]]
}


[2]
{
  "formula": "Ge2Pd2Pt",
  "functional": "GGA-PBE",
  "state": "relaxed",
  "lattice_angstrom": [[1.9385, -7.0034, 0.0000], [1.9385, 7.0034, 0.0000], [0.0000, 0.0000, 5.9879]],
  "species": ["Ge", "Ge", "Ge", "Ge", "Pd", "Pd", "Pd", "Pd", "Pt", "Pt"],
  "frac_coords": [[0.0460, 0.9540, 0.5000], [0.2858, 0.7142, 0.6516], [0.7142, 0.2858, 0.1516], [0.9540, 0.0460, 0.0000], [0.3371, 0.6629, 0.0701], [0.4667, 0.5333, 0.7048], [0.5333, 0.4667, 0.2048], [0.6629, 0.3371, 0.5701], [0.1421, 0.8579, 0.9296], [0.8579, 0.1421, 0.4296]],
  "de_polymorph_mev_per_atom": 0
}


[3]
{
  "formula": "Ge2Pd4Pt",
  "functional": "GGA-PBE",
  "state": "relaxed",
  "lattice_angstrom": [[2.0428, 1.1794, 8.3356], [-2.0428, 1.1794, 8.3356], [0.0000, -2.3588, 8.3356]],
  "species": ["Ge", "Ge", "Pd", "Pd", "Pd", "Pd", "Pt"],
  "frac_coords": [[0.0981, 0.0981, 0.0981], [0.9019, 0.9019, 0.9019], [0.2008, 0.2008, 0.2008], [0.3937, 0.3937, 0.3937], [0.6063, 0.6063, 0.6063], [0.7992, 0.7992, 0.7992], [0.0000, 0.0000, 0.0000]]
}


Number 1: DOS(E_F) 1.260 states/eV/f.u., calculated density 12.52 g/cm³, energy of formation from the pure elements -0.42 eV per atom. Number 2: DOS(E_F) 1.563 states/eV/f.u., calculated density 11.30 g/cm³, energy of formation from the pure elements -0.43 eV per atom. Number 3: DOS(E_F) 1.958 states/eV/f.u., calculated density 10.56 g/cm³, energy of formation from the pure elements -0.34 eV per atom.